## 1
Entry from Alexandria: a geometry-optimized LiAgAu2 structure (GGA-PBEsol).

Lattice parameters (Å, degrees): 2.8450 2.8450 9.2763 81.18 81.18 60.00
Sites, in units of the cell vectors:
Au: 0.2450 0.2450 0.2649
Au: 0.7550 0.7550 0.7351
Ag: 0.0000 0.0000 0.0000
Li: 0.5000 0.5000 0.5000

Calculated values
Space group: R-3m

=====

## 2
Entry from Alexandria: a geometry-optimized LiAgAu2 structure (GGA-PBEsol).

Lattice parameters (Å, degrees): 2.8096 4.1177 5.5709 90.00 90.00 90.00
Sites, in units of the cell vectors:
Au: 0.0000 0.0000 0.9950
Au: 0.5000 0.5000 0.2634
Ag: 0.5000 0.5000 0.7504
Li: 0.0000 0.0000 0.4912

Calculated values
Space group: Pmm2

=====

Most stable structure - 2; separation to the second - 2.9 kJ/mol of atoms.

=====

## 1
Entry from Alexandria: a geometry-optimized MnMo2W structure (GGA-PBEsol).

Lattice parameters (Å, degrees): 2.6734 2.6734 8.4868 90.00 90.00 108.58
Last column: magnetic moment on the atom in μB.
Sites, in units of the cell vectors:
Mo: 0.0000 0.0000 0.0142  -0.13
Mo: 0.5000 0.5000 0.7510  0.03
Mn: 0.5000 0.5000 0.2489  1.69
W: 0.0000 0.0000 0.4859  -0.10

Calculated values
Space group: Cmm2

=====

## 2
Entry from Alexandria: a geometry-optimized MnMo2W structure (GGA-PBEsol).

Lattice parameters (Å, degrees): 4.3140 4.3140 4.3140 60.00 60.00 60.00
Sites, in units of the cell vectors:
Mn: 0.5000 0.5000 0.5000
Mo: 0.0000 0.0000 0.0000
Mo: 0.7500 0.7500 0.7500
W: 0.2500 0.2500 0.2500

Calculated values
Space group: F-43m

=====

Most stable structure - 1; separation to the second - 3.3 kJ/mol of atoms.

=====

## 1
Entry from Alexandria: a geometry-optimized CoW2Cl structure (GGA-PBEsol).

Lattice parameters (Å, degrees): 4.3587 4.3587 4.3587 60.00 60.00 60.00
Last column: magnetic moment on the atom in μB.
Sites, in units of the cell vectors:
Co: 0.7500 0.7500 0.7500  1.49
W: 0.0000 0.0000 0.0000  0.20
W: 0.2500 0.2500 0.2500  0.21
Cl: 0.5000 0.5000 0.5000  0.09

Calculated values
Space group: F-43m

=====

## 2
Entry from Alexandria: a geometry-optimized CoW2Cl structure (GGA-PBEsol).

Lattice parameters (Å, degrees): 2.7286 4.3805 5.0339 111.35 90.00 90.00
Sites, in units of the cell vectors:
Co: 0.0000 0.0000 0.5000
W: 0.0000 0.0000 0.0000
W: 0.5000 0.5000 0.5000
Cl: 0.5000 0.5000 0.0000

Calculated values
Space group: P2/m

=====

Most stable structure - 2; separation to the second - 30.4 kJ/mol of atoms.

=====

## 1
Entry from Alexandria: a geometry-optimized LiFeP2O structure (GGA-PBEsol).

Lattice parameters (Å, degrees): 3.1139 4.4923 4.4923 90.00 90.00 90.00
Last column: magnetic moment on the atom in μB.
Sites, in units of the cell vectors:
P: 0.0000 0.0000 0.5000  -0.01
P: 0.0000 0.5000 0.0000  -0.01
Fe: 0.5000 0.5000 0.5000  2.92
O: 0.5000 0.0000 0.0000  0.05
Li: 0.0000 0.0000 0.0000  0.01

Calculated values
Space group: P4/mmm

=====

## 2
Entry from Alexandria: a geometry-optimized LiFeP2O structure (GGA-PBEsol).

Lattice parameters (Å, degrees): 3.3176 4.6265 4.6265 90.00 90.00 90.00
Last column: magnetic moment on the atom in μB.
Sites, in units of the cell vectors:
P: 0.0000 0.0000 0.5000  0.00
P: 0.0000 0.5000 0.0000  0.00
Fe: 0.0000 0.0000 0.0000  0.23
O: 0.5000 0.0000 0.0000  0.01
Li: 0.5000 0.5000 0.5000  0.00

Calculated values
Space group: P4/mmm

=====

Most stable structure - 2; separation to the second - 72.9 kJ/mol of atoms.

=====

## 1
Entry from Alexandria: a geometry-optimized Mg2AsPb structure (GGA-PBEsol).

Lattice parameters (Å, degrees): 3.9989 3.9989 7.3606 74.24 74.24 60.00
Sites, in units of the cell vectors:
Pb: 0.5000 0.5000 0.5000
As: 0.0000 0.0000 0.0000
Mg: 0.2734 0.2734 0.1799
Mg: 0.7266 0.7266 0.8201

Calculated values
Space group: R-3m

=====

## 2
Entry from Alexandria: a geometry-optimized Mg2AsPb structure (GGA-PBEsol).

Lattice parameters (Å, degrees): 3.6320 3.6338 6.6682 90.00 90.19 90.00
Sites, in units of the cell vectors:
Pb: 0.5000 0.5000 0.0000
As: 0.5000 0.5000 0.5000
Mg: 0.9987 0.0000 0.7131
Mg: 0.0013 0.0000 0.2869

Calculated values
Space group: P2/m

=====

Most stable structure - 1; separation to the second - 4.9 kJ/mol of atoms.

=====

## 1
Entry from Alexandria: a geometry-optimized WBr3 structure (GGA-PBEsol).

Lattice parameters (Å, degrees): 3.2246 3.2246 9.7710 80.50 80.50 60.00
Sites, in units of the cell vectors:
Br: 0.7297 0.7297 0.8108
Br: 0.5000 0.5000 0.5000
Br: 0.2703 0.2703 0.1892
W: 0.0000 0.0000 0.0000

Calculated values
Space group: R-3m

=====

## 2
Entry from Alexandria: a geometry-optimized WBr3 structure (GGA-PBEsol).

Lattice parameters (Å, degrees): 3.1277 4.8497 7.0538 110.11 102.81 90.00
Sites, in units of the cell vectors:
Br: 0.6585 0.6585 0.3170
Br: 0.3415 0.3415 0.6830
Br: 0.5000 0.0000 0.0000
W: 0.0000 0.5000 0.0000

Calculated values
Space group: Immm

=====

Most stable structure - 1; separation to the second - 0.5 kJ/mol of atoms.

=====

## 1
Entry from Alexandria: a geometry-optimized IrAuBr2 structure (GGA-PBEsol).

Lattice parameters (Å, degrees): 3.6728 3.6728 7.3798 75.59 75.59 60.00
Sites, in units of the cell vectors:
Ir: 0.5000 0.5000 0.5000
Au: 0.0000 0.0000 0.0000
Br: 0.2320 0.2320 0.3039
Br: 0.7680 0.7680 0.6961

Calculated values
Space group: R-3m

=====

## 2
Entry from Alexandria: a geometry-optimized IrAuBr2 structure (GGA-PBEsol).

Lattice parameters (Å, degrees): 3.0718 3.0718 8.0129 90.00 90.00 90.00
Sites, in units of the cell vectors:
Ir: 0.5000 0.5000 0.0000
Au: 0.5000 0.5000 0.5000
Br: 0.0000 0.0000 0.7890
Br: 0.0000 0.0000 0.2110

Calculated values
Space group: P4/mmm

=====

Most stable structure - 1; separation to the second - 34.7 kJ/mol of atoms.

=====

## 1
Entry from Alexandria: a geometry-optimized Sr2Li structure (GGA-PBEsol).

Lattice parameters (Å, degrees): 4.7835 9.6327 9.6327 120.00 90.00 90.00
Sites, in units of the cell vectors:
Sr: 0.0000 0.7475 0.7475
Sr: 0.0000 0.0000 0.2525
Sr: 0.0000 0.2525 0.0000
Sr: 0.5000 0.4068 0.4068
Sr: 0.5000 0.0000 0.5932
Sr: 0.5000 0.5932 0.0000
Li: 0.0000 0.6667 0.3333
Li: 0.0000 0.3333 0.6667
Li: 0.5000 0.0000 0.0000

Calculated values
Space group: P-62m

=====

## 2
Entry from Alexandria: a geometry-optimized Sr2Li structure (GGA-PBEsol).

Lattice parameters (Å, degrees): 4.2125 4.2125 7.6965 105.88 105.88 90.00
Sites, in units of the cell vectors:
Sr: 0.3547 0.3547 0.7094
Sr: 0.6453 0.6453 0.2906
Li: 0.0000 0.0000 0.0000

Calculated values
Space group: I4/mmm

=====

Most stable structure - 2; separation to the second - 1.8 kJ/mol of atoms.

=====

## 1
Entry from Alexandria: a geometry-optimized InAsCl2 structure (GGA-PBEsol).

Lattice parameters (Å, degrees): 3.2002 3.2002 8.2737 90.00 90.00 90.00
Sites, in units of the cell vectors:
As: 0.5000 0.5000 0.5000
Cl: 0.0000 0.0000 0.7496
Cl: 0.0000 0.0000 0.2504
In: 0.5000 0.5000 0.0000

Calculated values
Space group: P4/mmm

=====

## 2
Entry from Alexandria: a geometry-optimized InAsCl2 structure (GGA-PBEsol).

Lattice parameters (Å, degrees): 3.4607 4.2274 7.1259 107.25 104.05 90.00
Sites, in units of the cell vectors:
As: 0.2251 0.7251 0.4503
Cl: 0.9795 0.9795 0.9589
Cl: 0.7412 0.2412 0.4824
In: 0.5542 0.5542 0.1084

Calculated values
Space group: Imm2

=====

Most stable structure - 2; separation to the second - 16.3 kJ/mol of atoms.

=====

## 1
Entry from Alexandria: a geometry-optimized Ta3W5 structure (GGA-PBEsol).

Lattice parameters (Å, degrees): 4.5150 5.5267 5.5267 109.35 90.00 90.00
Sites, in units of the cell vectors:
Ta: 0.0000 0.5000 0.5000
Ta: 0.5000 0.7497 0.2503
Ta: 0.5000 0.2503 0.7497
W: 0.0000 0.0000 0.0000
W: 0.0000 0.5000 0.0000
W: 0.0000 0.0000 0.5000
W: 0.5000 0.7528 0.7528
W: 0.5000 0.2472 0.2472

Calculated values
Space group: Cmmm

=====

## 2
Entry from Alexandria: a geometry-optimized Ta3W5 structure (GGA-PBEsol).

Lattice parameters (Å, degrees): 6.3835 6.3824 6.3835 90.00 89.98 90.00
Sites, in units of the cell vectors:
Ta: 0.0031 0.5000 0.0031
Ta: 0.0028 0.5000 0.4977
Ta: 0.7500 0.7528 0.7500
Ta: 0.7500 0.2472 0.7500
Ta: 0.4977 0.5000 0.0028
Ta: 0.4967 0.0000 0.4967
W: 0.0021 0.0000 0.0021
W: 0.0021 0.0000 0.4973
W: 0.7499 0.7523 0.2500
W: 0.7499 0.2477 0.2500
W: 0.4973 0.0000 0.0021
W: 0.4982 0.5000 0.4982
W: 0.2500 0.7526 0.2500
W: 0.2500 0.2474 0.2500
W: 0.2500 0.7523 0.7499
W: 0.2500 0.2477 0.7499

Calculated values
Space group: Amm2

=====

Most stable structure - 1; separation to the second - 1.2 kJ/mol of atoms.

=====

## 1
Entry from Alexandria: a geometry-optimized YCoIr2 structure (GGA-PBEsol).

Lattice parameters (Å, degrees): 4.4733 4.4733 4.4733 60.00 60.00 60.00
Last column: magnetic moment on the atom in μB.
Sites, in units of the cell vectors:
Co: 0.5000 0.5000 0.5000  1.51
Ir: 0.0000 0.0000 0.0000  0.55
Ir: 0.2500 0.2500 0.2500  0.58
Y: 0.7500 0.7500 0.7500  -0.07

Calculated values
Space group: F-43m

=====

## 2
Entry from Alexandria: a geometry-optimized YCoIr2 structure (GGA-PBEsol).

Lattice parameters (Å, degrees): 3.9598 3.9598 4.8103 114.31 114.31 90.00
Sites, in units of the cell vectors:
Co: 0.7500 0.2500 0.5000
Ir: 0.0000 0.0000 0.0000
Ir: 0.2500 0.7500 0.5000
Y: 0.5000 0.5000 0.0000

Calculated values
Space group: I-4m2

=====

Most stable structure - 2; separation to the second - 16.1 kJ/mol of atoms.

=====

## 1
Entry from Alexandria: a geometry-optimized K2CaAg structure (GGA-PBEsol).

Lattice parameters (Å, degrees): 3.9475 3.9475 10.6396 90.00 90.00 90.00
Sites, in units of the cell vectors:
Ag: 0.5000 0.5000 0.0000
Ca: 0.5000 0.5000 0.5000
K: 0.0000 0.0000 0.8139
K: 0.0000 0.0000 0.1861

Calculated values
Space group: P4/mmm

=====

## 2
Entry from Alexandria: a geometry-optimized K2CaAg structure (GGA-PBEsol).

Lattice parameters (Å, degrees): 4.1354 4.1354 12.0599 80.13 80.13 60.00
Sites, in units of the cell vectors:
Ag: 0.5000 0.5000 0.5000
Ca: 0.0000 0.0000 0.0000
K: 0.2307 0.2307 0.3079
K: 0.7693 0.7693 0.6921

Calculated values
Space group: R-3m

=====

Most stable structure - 1; separation to the second - 4.5 kJ/mol of atoms.